[1]
A plane-wave DFT calculation with GGA+U was carried out for a geometry-optimized AlMoF structure.

The space group is C2/m (No. 12) and the conventional cell measures 4.627, 4.716 and 7.872 Å, with angles of 90.00, 104.45 and 90.00 degrees. The asymmetric unit holds Al at (0.133, 0.000, 0.202), Mo at (0.210, 0.500, 0.409) and F at (0.227, 0.000, 0.975).

For the offset from the most stable computed form, the calculation gives 18.42 kJ/mol of atoms. As for the total magnetization: 0.000 μB per cell. The total energy comes out at -59.0 eV per cell.

---

[2]
A plane-wave DFT calculation with GGA+U was carried out for a geometry-optimized AlMoF2 structure.

The space group is R-3m (No. 166, hexagonal axes) and the conventional cell measures 2.7427, 2.7427 and 23.8641 Å, with angles of 90.00, 90.00 and 120.00 degrees. The asymmetric unit holds Al at (0.0000, 0.0000, 0.0000), Mo at (0.0000, 0.0000, 0.5000) and F at (0.0000, 0.0000, 0.0775).

For the offset from the most stable computed form, the calculation gives 19.02 kJ/mol of atoms. As for the total magnetization: 1.550 μB per cell. The total energy comes out at -53.3 eV per cell.

---

[3]
A plane-wave DFT calculation with GGA+U was carried out for a geometry-optimized AlMoF2 structure.

The space group is I4_1/amd (No. 141, origin choice 2) and the conventional cell measures 5.919, 5.919 and 8.778 Å, with angles of 90.00, 90.00 and 90.00 degrees. The asymmetric unit holds Al at (0.000, 0.250, 0.375), Mo at (0.000, 0.250, 0.875) and F at (0.000, 0.000, 0.500).

For the offset from the most stable computed form, the calculation gives 0.00 kJ/mol of atoms. As for the total magnetization: 20.946 μB per cell. The total energy comes out at -74.2 eV per cell.

---

[4]
A plane-wave DFT calculation with GGA+U was carried out for a geometry-optimized Al3MoF structure.

The space group is Pm-3m (No. 221) and the conventional cell measures 4.229, 4.229 and 4.229 Å, with angles of 90.00, 90.00 and 90.00 degrees. The asymmetric unit holds Al at (0.000, 0.000, 0.500), Mo at (0.500, 0.500, 0.500) and F at (0.000, 0.000, 0.000).

For the offset from the most stable computed form, the calculation gives 0.00 kJ/mol of atoms. As for the total magnetization: 2.010 μB per cell. The total energy comes out at -20.7 eV per cell.

---

[5]
A plane-wave DFT calculation with GGA+U was carried out for a geometry-optimized AlMoF structure.

The space group is P1 (No. 1) and the conventional cell measures 2.688, 2.809 and 7.289 Å, with angles of 79.01, 87.92 and 80.62 degrees. The asymmetric unit holds Al at (0.000, 0.000, 0.000), Mo at (0.496, 0.366, 0.273) and F at (0.503, 0.090, 0.817).

For the offset from the most stable computed form, the calculation gives 33.31 kJ/mol of atoms. As for the total magnetization: 0.000 μB per cell. The total energy comes out at -14.3 eV per cell.

---

[6]
A plane-wave DFT calculation with GGA+U was carried out for a geometry-optimized AlMoF structure.

The space group is P1 (No. 1) and the conventional cell measures 2.852, 4.186 and 8.139 Å, with angles of 86.96, 86.13 and 89.85 degrees. The asymmetric unit holds Al at (0.000, 0.000, 0.000), Al at (0.019, 0.221, 0.611), Mo at (0.477, 0.507, 0.857), Mo at (0.584, 0.486, 0.180), F at (0.058, 0.438, 0.403) and F at (0.533, 0.981, 0.535).

For the offset from the most stable computed form, the calculation gives 18.44 kJ/mol of atoms. As for the total magnetization: 0.768 μB per cell. The total energy comes out at -29.5 eV per cell.

---

[7]
A plane-wave DFT calculation with GGA+U was carried out for a geometry-optimized AlMoF2 structure.

The space group is R-3m (No. 166, hexagonal axes) and the conventional cell measures 3.9152, 3.9152 and 14.2120 Å, with angles of 90.00, 90.00 and 120.00 degrees. The asymmetric unit holds Al at (0.0000, 0.0000, 0.0000), Mo at (0.0000, 0.0000, 0.5000) and F at (0.0000, 0.0000, 0.3486).

For the offset from the most stable computed form, the calculation gives 5.67 kJ/mol of atoms. As for the total magnetization: 9.674 μB per cell. The total energy comes out at -55.0 eV per cell.

---

[8]
A plane-wave DFT calculation with GGA+U was carried out for a geometry-optimized AlMoF structure.

The space group is P1 (No. 1) and the conventional cell measures 3.188, 4.917 and 7.701 Å, with angles of 86.70, 89.90 and 71.15 degrees. The asymmetric unit holds Al at (0.000, 0.000, 0.000), Al at (0.390, 0.221, 0.656), Mo at (0.285, 0.430, 0.147), Mo at (0.721, 0.560, 0.850), F at (0.325, 0.350, 0.434) and F at (0.574, 0.855, 0.608).

For the offset from the most stable computed form, the calculation gives 15.00 kJ/mol of atoms. As for the total magnetization: 0.830 μB per cell. The total energy comes out at -29.7 eV per cell.

---

[9]
A plane-wave DFT calculation with GGA+U was carried out for a geometry-optimized AlMoF structure.

The space group is Cm (No. 8) and the conventional cell measures 17.685, 3.233 and 3.317 Å, with angles of 90.00, 92.98 and 90.00 degrees. The asymmetric unit holds Al at (0.000, 0.000, 0.000), Al at (0.202, 0.000, 0.286), Mo at (0.287, 0.500, 0.807), Mo at (0.378, 0.000, 0.332), F at (0.034, 0.500, 0.791) and F at (0.097, 0.000, 0.261).

For the offset from the most stable computed form, the calculation gives 0.00 kJ/mol of atoms. As for the total magnetization: 2.393 μB per cell. The total energy comes out at -61.3 eV per cell.

---

[10]
A plane-wave DFT calculation with GGA+U was carried out for a geometry-optimized AlMoF2 structure.

The space group is Fm-3m (No. 225) and the conventional cell measures 5.961, 5.961 and 5.961 Å, with angles of 90.00, 90.00 and 90.00 degrees. The asymmetric unit holds Al at (0.000, 0.000, 0.000), Mo at (0.000, 0.000, 0.500) and F at (0.250, 0.250, 0.250).

For the offset from the most stable computed form, the calculation gives 64.70 kJ/mol of atoms. As for the total magnetization: 3.343 μB per cell. The total energy comes out at -63.5 eV per cell.

---

[11]
A plane-wave DFT calculation with GGA+U was carried out for a geometry-optimized AlMoF structure.

The space group is Cmcm (No. 63) and the conventional cell measures 4.479, 11.945 and 3.468 Å, with angles of 90.00, 90.00 and 90.00 degrees. The asymmetric unit holds Al at (0.000, 0.092, 0.250), Mo at (0.000, 0.427, 0.250) and F at (0.000, 0.243, 0.250).

For the offset from the most stable computed form, the calculation gives 28.76 kJ/mol of atoms. As for the total magnetization: 0.000 μB per cell. The total energy comes out at -57.7 eV per cell.

---

[12]
A plane-wave DFT calculation with GGA+U was carried out for a geometry-optimized AlMoF structure.

The space group is P2_1/m (No. 11) and the conventional cell measures 2.744, 4.299 and 8.742 Å, with angles of 90.00, 96.33 and 90.00 degrees. The asymmetric unit holds Al at (0.154, 0.250, 0.230), Mo at (0.366, 0.250, 0.931) and F at (0.291, 0.750, 0.626).

For the offset from the most stable computed form, the calculation gives 8.95 kJ/mol of atoms. As for the total magnetization: 0.000 μB per cell. The total energy comes out at -30.1 eV per cell.